Arrangement one

Here is an optimized crystal structure of Li2FeP2HO8 from the Alexandria database. Energies are from GGA+U.

```
Li2FeP2HO8
1.0
8.603 0.000 0.000
0.000 6.174 -0.211
0.000 4.175 6.291
O Li P Fe H
16 4 4 2 2
Direct
0.660 0.959 0.908
0.725 0.433 0.227
0.176 0.773 0.793
0.275 0.433 0.727
0.045 0.044 0.371
0.752 0.826 0.640
0.955 0.044 0.871
0.549 0.591 0.405
0.783 0.325 0.586
0.230 0.319 0.435
0.824 0.773 0.293
0.248 0.826 0.140
0.340 0.959 0.408
0.770 0.319 0.935
0.217 0.325 0.086
0.451 0.591 0.905
0.181 0.099 0.778
0.975 0.870 0.664
0.819 0.099 0.278
0.025 0.870 0.164
0.791 0.155 0.838
0.209 0.155 0.338
0.283 0.549 0.867
0.717 0.549 0.367
0.332 0.626 0.419
0.668 0.626 0.919
0.306 0.983 0.087
0.694 0.983 0.587
```

Output
Its symmetry is Pc. As for the density: 2534 kg/m³. The calculation puts the density of states at the Fermi level at 0.0 states/eV per cell.

Arrangement two

Here is an optimized crystal structure of Li2FeP2HO8 from the Alexandria database. Energies are from GGA+U.

```
Li2FeP2HO8
1.0
-1.226 3.845 2.720
-4.419 -5.613 2.561
5.698 -2.015 5.416
O P Li H Fe
16 4 4 2 2
Direct
0.506 0.698 0.557
0.266 0.563 0.820
0.601 0.403 0.674
0.988 0.801 0.439
0.132 0.409 0.544
0.494 0.302 0.057
0.893 0.097 0.324
0.364 0.088 0.456
0.107 0.903 0.824
0.399 0.597 0.174
0.734 0.437 0.320
0.868 0.591 0.044
0.768 0.064 0.680
0.012 0.199 0.939
0.636 0.912 0.956
0.232 0.936 0.180
0.117 0.987 0.345
0.883 0.013 0.845
0.618 0.481 0.151
0.382 0.519 0.651
0.145 0.591 0.365
0.367 0.907 0.635
0.633 0.093 0.135
0.855 0.409 0.865
0.776 0.761 0.489
0.224 0.239 0.989
0.252 0.746 0.000
0.748 0.254 0.500
```

Output
Its symmetry is P2_1. As for the density: 2982 kg/m³. The calculation puts the density of states at the Fermi level at 0.0 states/eV per cell.

Most favorable first, least favorable last: arrangement two, arrangement one

Arrangement one

Here is an optimized crystal structure of LiFe2P2HO8 from the Alexandria database. Energies are from GGA+U.

```
LiFe2P2HO8
1.0
-1.687 4.336 -1.837
-4.347 1.367 7.216
12.564 6.928 4.815
O H P Fe Li
32 4 8 8 4
Direct
0.258 0.793 0.218
0.550 0.739 0.925
0.893 0.586 0.412
0.897 0.114 0.089
0.450 0.261 0.075
0.402 0.390 0.415
0.700 0.288 0.219
0.103 0.886 0.911
0.258 0.207 0.282
0.594 0.088 0.919
0.963 0.236 0.416
0.963 0.764 0.084
0.107 0.414 0.588
0.450 0.739 0.425
0.300 0.712 0.781
0.402 0.610 0.085
0.550 0.261 0.575
0.594 0.912 0.581
0.742 0.207 0.782
0.700 0.712 0.281
0.893 0.414 0.088
0.598 0.610 0.585
0.897 0.886 0.411
0.300 0.288 0.719
0.406 0.912 0.081
0.742 0.793 0.718
0.037 0.236 0.916
0.406 0.088 0.419
0.037 0.764 0.584
0.598 0.390 0.915
0.103 0.114 0.589
0.107 0.586 0.912
0.556 0.239 0.753
0.444 0.761 0.247
0.556 0.761 0.747
0.444 0.239 0.253
0.260 0.234 0.387
0.266 0.268 0.617
0.260 0.766 0.113
0.266 0.732 0.883
0.734 0.268 0.117
0.734 0.732 0.383
0.740 0.234 0.887
0.740 0.766 0.613
0.756 0.415 0.499
0.756 0.078 0.500
0.244 0.415 0.999
0.756 0.585 0.001
0.244 0.585 0.501
0.756 0.922 0.000
0.244 0.922 0.500
0.244 0.078 0.000
0.060 0.000 0.250
0.835 0.500 0.250
0.165 0.500 0.750
0.940 0.000 0.750
```

Output
Its symmetry is P2/c. As for the density: 3193 kg/m³. The calculation puts the density of states at the Fermi level at 0.0 states/eV per cell.

Arrangement two

Here is an optimized crystal structure of LiFe2P2HO8 from the Alexandria database. Energies are from GGA+U.

```
LiFe2P2HO8
1.0
-0.312 -3.068 -4.142
8.126 0.623 1.944
-1.422 -6.317 5.945
O H P Fe Li
16 2 4 4 2
Direct
0.102 0.613 0.679
0.618 0.609 0.138
0.668 0.787 0.919
0.896 0.908 0.189
0.113 0.190 0.460
0.768 0.307 0.585
0.896 0.386 0.319
0.333 0.212 0.081
0.079 0.704 0.039
0.392 0.910 0.635
0.231 0.694 0.414
0.101 0.092 0.811
0.925 0.300 0.962
0.887 0.810 0.539
0.607 0.090 0.365
0.387 0.389 0.863
0.116 0.577 0.373
0.884 0.424 0.626
0.851 0.243 0.427
0.826 0.754 0.071
0.148 0.756 0.573
0.175 0.246 0.929
0.233 0.088 0.269
0.765 0.910 0.731
0.285 0.606 0.903
0.713 0.393 0.097
0.638 0.836 0.354
0.361 0.164 0.646
```

Output
Its symmetry is P1. As for the density: 2851 kg/m³. The calculation puts the density of states at the Fermi level at 0.0 states/eV per cell.

Most favorable first, least favorable last: arrangement two, arrangement one